A plane-wave DFT calculation with PBE was carried out for a geometry-optimized EuTmZnPb structure.

The space group is F-43m (No. 216) and the conventional cell measures 7.546, 7.546 and 7.546 Å, with angles of 90.00, 90.00 and 90.00 degrees. The inequivalent atoms are Eu at (0.000, 0.000, 0.000), Tm at (0.000, 0.000, 0.500), Zn at (0.250, 0.250, 0.250) and Pb at (0.250, 0.250, 0.750).

The calculation puts the spin magnetization at 7.55 μB/f.u. For the uncorrected energy, the calculation gives -5.28 eV/atom. The formation energy from the elements comes out at -0.35 eV/atom.

A plane-wave DFT calculation with PBE was carried out for a geometry-optimized EuYPb2 structure.

The space group is P4/mmm (No. 123) and the conventional cell measures 5.150, 5.150 and 4.496 Å, with angles of 90.00, 90.00 and 90.00 degrees. The inequivalent atoms are Eu at (0.000, 0.000, 0.000), Y at (0.500, 0.500, 0.000) and Pb at (0.000, 0.500, 0.500).

The calculation puts the spin magnetization at 7.26 μB/f.u. For the uncorrected energy, the calculation gives -6.51 eV/atom. The formation energy from the elements comes out at -0.47 eV/atom.

A plane-wave DFT calculation with PBE was carried out for a geometry-optimized EuY2Pb structure.

The space group is P4/mmm (No. 123) and the conventional cell measures 5.007, 5.007 and 4.833 Å, with angles of 90.00, 90.00 and 90.00 degrees. The inequivalent atoms are Eu at (0.000, 0.000, 0.000), Y at (0.000, 0.500, 0.500) and Pb at (0.500, 0.500, 0.000).

The calculation puts the spin magnetization at 8.28 μB/f.u. For the uncorrected energy, the calculation gives -7.00 eV/atom. The formation energy from the elements comes out at -0.27 eV/atom.

A plane-wave DFT calculation with PBE was carried out for a geometry-optimized EuYPb2 structure.

The space group is R-3m (No. 166, hexagonal axes) and the conventional cell measures 3.8535, 3.8535 and 29.6907 Å, with angles of 90.00, 90.00 and 120.00 degrees. The inequivalent atoms are Eu at (0.0000, 0.0000, 0.0000), Y at (0.0000, 0.0000, 0.5000) and Pb at (0.0000, 0.0000, 0.2473).

The calculation puts the spin magnetization at 7.14 μB/f.u. For the uncorrected energy, the calculation gives -6.43 eV/atom. The formation energy from the elements comes out at -0.39 eV/atom.